Entry from Alexandria: VHgS2 after structural relaxation (PBE).

```
VHgS2
1.0
-3.900 1.815 -17.937
-3.201 -3.567 -4.848
-2.911 -2.696 5.544
Hg S V
2 4 2
Cartesian
-6.341 -3.999 -8.639
-8.291 -3.092 -17.608
-6.797 -2.157 -11.460
-2.686 -2.273 -0.969
-3.635 -2.110 -7.842
-2.936 0.376 -10.131
-5.367 -4.452 -4.154
-7.317 -3.545 -13.123
```

Output
**Space group**: I4/mcm
**Energy relative to the elements, uncorrected**: -575 meV/atom
**Final energy**: -4.99 eV/atom
**Size of the total moment**: 2.04 Bohr magnetons per cell

---

Entry from Alexandria: NpPI after structural relaxation (PBE).

```
NpPI
1.0
-0.231 3.085 3.207
-1.550 -1.090 4.033
9.880 -1.990 5.721
I Np P
2 2 2
Cartesian
7.485 -0.869 7.565
0.615 0.873 5.396
5.038 0.266 9.393
3.061 -0.262 3.567
5.547 -0.892 4.352
2.553 0.896 8.608
```

Output
**Space group**: R-3m
**Energy relative to the elements, uncorrected**: -640 meV/atom
**Final energy**: -7.27 eV/atom
**Size of the total moment**: 6.02 Bohr magnetons per cell

---

Entry from Alexandria: YbSiIr after structural relaxation (PBE).

```
YbSiIr
1.0
-1.009 -0.332 -4.094
-0.969 -7.082 0.813
-6.772 1.108 1.579
Si Yb Ir
4 4 4
Cartesian
-5.336 -2.070 0.390
-1.680 -0.651 -0.626
-3.414 -4.235 -2.092
-7.070 -5.655 -1.077
-4.422 -5.356 0.431
-4.328 -0.950 -2.133
-7.667 -3.775 1.103
-1.083 -2.530 -2.805
-6.051 0.362 0.369
-5.735 -3.558 -1.575
-2.699 -6.668 -2.071
-3.015 -2.747 -0.127
```

Output
**Space group**: Pnma
**Energy relative to the elements, uncorrected**: -898 meV/atom
**Final energy**: -6.17 eV/atom
**Size of the total moment**: 0.80 Bohr magnetons per cell